No. 1
VASP calculation (meta-GGA SCAN) on a crystal of SrMgI2N relaxed with PBEsol.

Lattice parameters (Å, degrees): 6.318 6.318 4.824 90.00 90.00 90.00
Sites, in units of the cell vectors:
Sr1 0.000 0.000 0.000
Mg1 0.500 0.500 0.500
I1 0.000 0.500 0.000
I2 0.500 0.000 0.000
N1 0.000 0.000 0.500

Properties
Space-group type: P4/mmm
Volume (Å³ per atom): 38.52
Density of states at the Fermi level (states/eV/f.u.): 1.4
Size of the total moment (μB per atom): 0.600
Crystal system: tetragonal
E_form (uncorrected) (kJ/mol of formula units): -14

***

No. 2
VASP calculation (meta-GGA SCAN) on a crystal of MgTaIN2 relaxed with PBEsol.

Lattice parameters (Å, degrees): 4.054 4.054 5.687 90.00 90.00 90.00
Sites, in units of the cell vectors:
Mg1 0.000 0.000 0.000
Ta1 0.500 0.500 0.500
I1 0.500 0.500 0.000
N1 0.000 0.500 0.500
N2 0.500 0.000 0.500

Properties
Space-group type: P4/mmm
Volume (Å³ per atom): 18.69
Density of states at the Fermi level (states/eV/f.u.): 1.7
Size of the total moment (μB per atom): 0.104
Crystal system: tetragonal
E_form (uncorrected) (kJ/mol of formula units): 72

***

No. 3
VASP calculation (meta-GGA SCAN) on a crystal of MgTcI2N relaxed with PBEsol.

Lattice parameters (Å, degrees): 5.502 5.502 3.732 90.00 90.00 90.00
Sites, in units of the cell vectors:
Mg1 0.000 0.000 0.000
Tc1 0.500 0.500 0.500
I1 0.000 0.500 0.500
I2 0.500 0.000 0.500
N1 0.500 0.500 0.000

Properties
Space-group type: P4/mmm
Volume (Å³ per atom): 22.60
Density of states at the Fermi level (states/eV/f.u.): 2.9
Size of the total moment (μB per atom): 0.000
Crystal system: tetragonal
E_form (uncorrected) (kJ/mol of formula units): 75

***

No. 4
VASP calculation (meta-GGA SCAN) on a crystal of MgTlIN2 relaxed with PBEsol.

Lattice parameters (Å, degrees): 4.477 4.477 5.764 90.00 90.00 90.00
Sites, in units of the cell vectors:
Mg1 0.000 0.000 0.000
Tl1 0.500 0.500 0.500
I1 0.000 0.000 0.500
N1 0.000 0.500 0.000
N2 0.500 0.000 0.000

Properties
Space-group type: P4/mmm
Volume (Å³ per atom): 23.11
Density of states at the Fermi level (states/eV/f.u.): 0.8
Size of the total moment (μB per atom): 0.800
Crystal system: tetragonal
E_form (uncorrected) (kJ/mol of formula units): 392